VASP calculation (PBE with a Hubbard U) on a geometry-optimized KLuMo2O8 structure.

Lattice parameters (Å, degrees): 5.081 7.938 18.948 90.00 90.00 90.00
Fractional coordinates of all 48 atoms:
K 0.000 0.250 0.777
K 0.000 0.750 0.223
K 0.500 0.750 0.723
K 0.500 0.250 0.277
Lu 0.000 0.250 0.003
Lu 0.000 0.750 0.997
Lu 0.500 0.750 0.497
Lu 0.500 0.250 0.503
Mo 0.977 0.492 0.402
Mo 0.023 0.508 0.598
Mo 0.523 0.992 0.098
Mo 0.023 0.008 0.402
Mo 0.477 0.008 0.902
Mo 0.977 0.992 0.598
Mo 0.477 0.508 0.098
Mo 0.523 0.492 0.902
O 0.903 0.012 0.315
O 0.097 0.988 0.685
O 0.597 0.512 0.185
O 0.097 0.488 0.315
O 0.403 0.488 0.815
O 0.903 0.512 0.685
O 0.403 0.988 0.185
O 0.597 0.012 0.815
O 0.739 0.171 0.093
O 0.261 0.829 0.907
O 0.761 0.671 0.407
O 0.261 0.329 0.093
O 0.239 0.329 0.593
O 0.739 0.671 0.907
O 0.239 0.829 0.407
O 0.761 0.171 0.593
O 0.756 0.496 0.034
O 0.244 0.504 0.966
O 0.744 0.996 0.466
O 0.244 0.004 0.034
O 0.256 0.004 0.534
O 0.756 0.996 0.966
O 0.256 0.504 0.466
O 0.744 0.496 0.534
O 0.755 0.313 0.410
O 0.245 0.687 0.590
O 0.745 0.813 0.090
O 0.245 0.187 0.410
O 0.255 0.187 0.910
O 0.755 0.813 0.590
O 0.255 0.687 0.090
O 0.745 0.313 0.910

## Properties
VASP energy: -7.136 eV per atom
Fermi-level density of states: 0.00 states/eV per cell